Density functional theory data (PBE-GGA) for an optimized crystal structure of LuInSbTe3.

a = 4.2300 Å, b = 14.7177 Å, c = 12.2257 Å
α = 90.00°, β = 90.00°, γ = 90.00°
With the nearest neighbours (Å) after each atom.
Space group Cmcm (No. 63)
One atom of each set of equivalent atoms:
Lu 0.0000 0.0000 0.0000 [4 per cell]  6 Te 2.99-3.09
In 0.0000 0.3116 0.2500 [4 per cell]  4 Te 3.16-3.18, 2 Sb 3.16
Sb 0.0000 0.3483 0.7500 [4 per cell]  2 Te 3.00, 2 In 3.16
Te 0.0000 0.0288 0.7500 [4 per cell]  2 Lu 3.09, 2 In 3.16, 2 Sb 3.40
Te 0.0000 0.3560 0.5049 [8 per cell]  2 Lu 2.99, 1 Sb 3.00, 1 In 3.18

Results
- theoretical density (g/cm3) = 6.9
- magnetic moment (μB/cell) = 0.05
- calculated total energy (eV per atom) = -4.00